Entry from Alexandria via LeMat-Bulk: a relaxed Ac2Tb5Y2 crystal (PBE-GGA).

As for the formation energy: 0.21 eV/atom. For the electronic total energy, the calculation gives -4.714 eV/atom.

The structure belongs to space group C2/m (No. 12); the cell edges are 22.093, 3.621 and 8.341 Å and the angles 90.00°, 98.53° and 90.00°. The distinct sites, in fractional coordinates, are Ac at (0.180, 0.000, 0.136), Tb at (0.000, 0.000, 0.000), Tb at (0.092, 0.000, 0.722), Tb at (0.190, 0.500, 0.532) and Y at (0.048, 0.500, 0.353).